Entry i
The following is a GGA-PBE calculation of crystalline B5C7 at its relaxed geometry, from Alexandria via LeMat-Bulk.

For the volume, the calculation gives 6.57 Å³ per atom. The density comes out at 2.909 g/cm3.

It has space group Cm (No. 8), with a = 8.7795 Å, b = 2.4893 Å, c = 8.1064 Å, α = 90.00°, β = 117.11° and γ = 90.00°. The asymmetric unit holds B at (0.0000, 0.0000, 0.0000), B at (0.0089, 0.0000, 0.4804), B at (0.0247, 0.5000, 0.8613), B at (0.3098, 0.0000, 0.6124), B at (0.3325, 0.0000, 0.1502), C at (0.0093, 0.5000, 0.3371), C at (0.1685, 0.0000, 0.1966), C at (0.1706, 0.5000, 0.3078), C at (0.1751, 0.5000, 0.8027), C at (0.1840, 0.0000, 0.7005), C at (0.3215, 0.5000, 0.0070) and C at (0.3345, 0.5000, 0.5012).

=====

Entry ii
The following is a GGA-PBE calculation of crystalline B5C7 at its relaxed geometry, from Alexandria via LeMat-Bulk.

For the volume, the calculation gives 6.34 Å³ per atom. The density comes out at 3.013 g/cm3.

It has space group Pm (No. 6), with a = 4.7729 Å, b = 2.6600 Å, c = 6.1691 Å, α = 90.00°, β = 103.59° and γ = 90.00°. The asymmetric unit holds B at (0.0000, 0.0000, 0.0000), B at (0.0951, 0.5000, 0.6429), B at (0.3551, 0.0000, 0.3083), B at (0.5923, 0.0000, 0.6431), B at (0.8624, 0.5000, 0.3347), C at (0.0159, 0.0000, 0.2881), C at (0.1589, 0.5000, 0.9117), C at (0.2279, 0.0000, 0.5441), C at (0.4985, 0.5000, 0.9892), C at (0.5091, 0.5000, 0.2648), C at (0.6380, 0.0000, 0.9175) and C at (0.7281, 0.5000, 0.5601).

=====

Least stable: entry ii

=====

Entry i
The following is a GGA-PBE calculation of crystalline HgOsRh at its relaxed geometry, from Alexandria via LeMat-Bulk.

For the volume, the calculation gives 18.87 Å³ per atom. The density comes out at 14.484 g/cm3.

It has space group F-43m (No. 216), with a = 6.0949 Å, b = 6.0949 Å, c = 6.0949 Å, α = 90.00°, β = 90.00° and γ = 90.00°. The asymmetric unit holds Hg at (0.0000, 0.0000, 0.0000), Os at (0.0000, 0.0000, 0.5000) and Rh at (0.2500, 0.2500, 0.2500).

=====

Entry ii
The following is a GGA-PBE calculation of crystalline HgOsRh at its relaxed geometry, from Alexandria via LeMat-Bulk.

For the volume, the calculation gives 16.97 Å³ per atom. The density comes out at 16.106 g/cm3.

It has space group P1 (No. 1), with a = 2.8489 Å, b = 4.7655 Å, c = 7.9820 Å, α = 92.43°, β = 99.06° and γ = 107.14°. The asymmetric unit holds Hg at (0.0000, 0.0000, 0.0000), Hg at (0.3984, 0.5550, 0.1991), Os at (0.3787, 0.0511, 0.6556), Os at (0.6026, 0.5856, 0.5570), Rh at (0.1834, 0.5122, 0.8237) and Rh at (0.7936, 0.1169, 0.3873).

=====

Least stable: entry i

=====

Entry i
The following is a GGA-PBE calculation of crystalline Mn3HOs at its relaxed geometry, from Alexandria via LeMat-Bulk.

For the volume, the calculation gives 10.00 Å³ per atom. The density comes out at 11.825 g/cm3.

It has space group P2_1/m (No. 11), with a = 5.2072 Å, b = 2.6092 Å, c = 7.3601 Å, α = 90.00°, β = 90.08° and γ = 90.00°. The asymmetric unit holds Mn at (0.1179, 0.2500, 0.3794), Mn at (0.3697, 0.7500, 0.6252), Mn at (0.3823, 0.7500, 0.1198), H at (0.3718, 0.7500, 0.3730) and Os at (0.1355, 0.2500, 0.8701).

=====

Entry ii
The following is a GGA-PBE calculation of crystalline Mn3HOs at its relaxed geometry, from Alexandria via LeMat-Bulk.

For the volume, the calculation gives 11.51 Å³ per atom. The density comes out at 10.271 g/cm3.

It has space group C2/m (No. 12), with a = 14.5347 Å, b = 2.5523 Å, c = 6.2418 Å, α = 90.00°, β = 96.05° and γ = 90.00°. The asymmetric unit holds Mn at (0.0485, 0.0000, 0.2013), Mn at (0.1812, 0.0000, 0.4932), Mn at (0.2035, 0.5000, 0.1585), H at (0.0915, 0.5000, 0.4036) and Os at (0.1200, 0.0000, 0.8364).

=====

Least stable: entry ii